VASP calculation (PBE-GGA) on an optimized crystal structure of Al2CdP2.

a b c (Å): 4.5429 4.5429 9.4527
angles (deg): 90.00 90.00 90.00
Space group I4/mmm (No. 139)
Inequivalent atoms, fractional coordinates:
Al (0.0000, 0.0000, 0.1375)
Cd (0.0000, 0.0000, 0.5000)
P (0.0000, 0.5000, 0.2500)

Results
The offset from the most stable computed form comes out at 0.0 kJ/mol of atoms. The calculation puts the energy of formation at 0.08 eV per atom.

=====

VASP calculation (PBE-GGA) on an optimized crystal structure of Tb2HPb2.

a b c (Å): 4.0447 15.6122 8.1542
angles (deg): 90.00 90.00 90.00
Space group Cmc2_1 (No. 36)
Inequivalent atoms, fractional coordinates:
Tb (0.0000, 0.0398, 0.0000)
Tb (0.0000, 0.3528, 0.8421)
H (0.0000, 0.0821, 0.3076)
Pb (0.0000, 0.2943, 0.4708)
Pb (0.0000, 0.4276, 0.2008)

Results
Its calculated total energy is -87.7 eV per cell.

=====

VASP calculation (PBE-GGA) on an optimized crystal structure of MnVSb2Pt.

a b c (Å): 5.1906 5.1906 4.5388
angles (deg): 90.00 90.00 90.00
Space group P4/mmm (No. 123)
Inequivalent atoms, fractional coordinates:
Mn (0.0000, 0.0000, 0.0000)
V (0.5000, 0.5000, 0.0000)
Sb (0.0000, 0.5000, 0.5000)
Pt (0.0000, 0.0000, 0.5000)

Results
The raw formation energy is 1.3539 eV per atom.

=====

VASP calculation (PBE-GGA) on an optimized crystal structure of NdErTeO2.

a b c (Å): 6.9132 4.1351 7.8756
angles (deg): 90.00 107.29 90.00
Space group P2_1/m (No. 11)
Inequivalent atoms, fractional coordinates:
Nd (0.1795, 0.2500, 0.4253)
Er (0.1543, 0.2500, 0.9131)
Te (0.4517, 0.7500, 0.7523)
O (0.0112, 0.7500, 0.8861)
O (0.0163, 0.7500, 0.3709)

Results
The raw formation energy is -2.9280 eV per atom.

=====

VASP calculation (PBE-GGA) on an optimized crystal structure of TiCo3H.

a b c (Å): 12.7836 2.5929 6.2510
angles (deg): 90.00 101.33 90.00
Space group C2/m (No. 12)
Inequivalent atoms, fractional coordinates:
Ti (0.1109, 0.0000, 0.0957)
Co (0.0245, 0.0000, 0.6930)
Co (0.1539, 0.5000, 0.4773)
Co (0.2256, 0.0000, 0.8105)
H (0.1163, 0.5000, 0.7807)

Results
The offset from the most stable computed form comes out at 30.8 kJ/mol of atoms.

=====

VASP calculation (PBE-GGA) on an optimized crystal structure of Tb12Dy5Ho.

a b c (Å): 10.6289 5.0143 10.6408
angles (deg): 90.00 90.09 90.00
Space group P2/m (No. 10)
Inequivalent atoms, fractional coordinates:
Tb (0.0003, 0.0000, 0.1670)
Tb (0.1662, 0.5000, 0.6662)
Tb (0.1668, 0.5000, 0.0001)
Tb (0.3329, 0.0000, 0.4997)
Tb (0.3334, 0.0000, 0.8334)
Tb (0.4999, 0.5000, 0.3332)
Dy (0.1666, 0.5000, 0.3334)
Dy (0.3334, 0.0000, 0.1666)
Dy (0.5000, 0.5000, 0.0000)
Ho (0.0000, 0.0000, 0.5000)

Results
The calculation puts the energy of formation at 0.02 eV per atom.

=====

VASP calculation (PBE-GGA) on an optimized crystal structure of Er6Cd23.

a b c (Å): 13.9511 13.9511 13.9511
angles (deg): 90.00 90.00 90.00
Space group Fm-3m (No. 225)
Inequivalent atoms, fractional coordinates:
Er (0.0000, 0.0000, 0.1980)
Cd (0.0000, 0.0000, 0.5000)
Cd (0.0000, 0.2500, 0.2500)
Cd (0.1213, 0.1213, 0.3787)
Cd (0.1599, 0.1599, 0.1599)

Results
The calculation puts the energy of formation at -0.17 eV per atom.

=====

VASP calculation (PBE-GGA) on an optimized crystal structure of Tb4TlSe2S.

a b c (Å): 7.2380 4.0605 7.2397
angles (deg): 90.00 108.66 90.00
Space group P2/m (No. 10)
Inequivalent atoms, fractional coordinates:
Tb (0.2359, 0.0000, 0.2409)
Tb (0.2365, 0.5000, 0.7431)
Tl (0.5000, 0.0000, 0.0000)
Se (0.0000, 0.0000, 0.5000)
Se (0.5000, 0.5000, 0.5000)
S (0.0000, 0.5000, 0.0000)

Results
The raw formation energy is -1.4317 eV per atom.

=====

VASP calculation (PBE-GGA) on an optimized crystal structure of Mn2SeCl.

a b c (Å): 3.5852 3.5852 12.5600
angles (deg): 90.00 90.00 90.00
Space group I-4m2 (No. 119)
Inequivalent atoms, fractional coordinates:
Mn (0.0000, 0.0000, 0.0000)
Mn (0.0000, 0.5000, 0.2500)
Se (0.0000, 0.5000, 0.7500)
Cl (0.0000, 0.0000, 0.5000)

Results
The offset from the most stable computed form comes out at 26.8 kJ/mol of atoms. The raw formation energy is -0.0520 eV per atom.

=====

VASP calculation (PBE-GGA) on an optimized crystal structure of CaAc2Pm2.

a b c (Å): 5.4885 8.2592 9.0478
angles (deg): 90.00 90.00 90.00
Space group Immm (No. 71)
Inequivalent atoms, fractional coordinates:
Ca (0.0000, 0.0000, 0.0000)
Ac (0.0000, 0.5000, 0.2045)
Pm (0.0000, 0.2032, 0.5000)

Results
The offset from the most stable computed form comes out at 17.1 kJ/mol of atoms. The calculation puts the energy of formation at 0.21 eV per atom.

=====

VASP calculation (PBE-GGA) on an optimized crystal structure of K2TaCd.

a b c (Å): 12.7331 2.9172 5.9551
angles (deg): 90.00 95.06 90.00
Space group C2/m (No. 12)
Inequivalent atoms, fractional coordinates:
K (0.2420, 0.0000, 0.2475)
Ta (0.0000, 0.0000, 0.5000)
Cd (0.0000, 0.5000, 0.0000)

Results
The calculation puts the energy of formation at 1.01 eV per atom.

=====

VASP calculation (PBE-GGA) on an optimized crystal structure of Na2Tl2Sn.

a b c (Å): 5.2189 3.3604 8.4156
angles (deg): 90.00 107.62 90.00
Space group P2/m (No. 10)
Inequivalent atoms, fractional coordinates:
Na (0.1028, 0.0000, 0.2042)
Tl (0.3016, 0.5000, 0.6074)
Sn (0.5000, 0.5000, 0.0000)

Results
The offset from the most stable computed form comes out at 0.2 kJ/mol of atoms. The calculation puts the energy of formation at -0.11 eV per atom.

=====

VASP calculation (PBE-GGA) on an optimized crystal structure of Al2SbS.

a b c (Å): 5.6583 5.6583 12.7227
angles (deg): 90.00 90.00 90.00
Space group I-42d (No. 122)
Inequivalent atoms, fractional coordinates:
Al (0.2093, 0.2500, 0.1250)
Sb (0.0000, 0.0000, 0.5000)
S (0.0000, 0.0000, 0.0000)

Results
The offset from the most stable computed form comes out at 0.0 kJ/mol of atoms. The raw formation energy is -0.2062 eV per atom.

=====

VASP calculation (PBE-GGA) on an optimized crystal structure of La2CrFe.

a b c (Å): 3.7119 3.7119 7.1142
angles (deg): 90.00 90.00 90.00
Space group P4/mmm (No. 123)
Inequivalent atoms, fractional coordinates:
La (0.0000, 0.0000, 0.2370)
Cr (0.5000, 0.5000, 0.5000)
Fe (0.5000, 0.5000, 0.0000)

Results
The offset from the most stable computed form comes out at 9.2 kJ/mol of atoms. The calculation puts the energy of formation at 0.45 eV per atom.

=====

VASP calculation (PBE-GGA) on an optimized crystal structure of Ac8CdRu3I4.

a b c (Å): 8.9129 8.9129 25.9248
angles (deg): 90.00 90.00 120.00
Space group R-3m (No. 166, hexagonal axes)
Inequivalent atoms, fractional coordinates:
Ac (0.0000, 0.0000, 0.2296)
Ac (0.0259, 0.5129, 0.7713)
Cd (0.0000, 0.0000, 0.5000)
Ru (0.0000, 0.5000, 0.5000)
I (0.0000, 0.0000, 0.0000)
I (0.0000, 0.5000, 0.0000)

Results
The raw formation energy is -0.6938 eV per atom.

=====

VASP calculation (PBE-GGA) on an optimized crystal structure of Nd3SiIr2.

a b c (Å): 11.7104 4.0460 12.3940
angles (deg): 90.00 90.00 90.00
Space group Pnma (No. 62)
Inequivalent atoms, fractional coordinates:
Nd (0.0621, 0.2500, 0.1159)
Nd (0.1289, 0.7500, 0.5519)
Nd (0.1936, 0.2500, 0.8017)
Si (0.1244, 0.2500, 0.3578)
Ir (0.0278, 0.7500, 0.3173)
Ir (0.1929, 0.7500, 0.9725)

Results
The raw formation energy is -0.7103 eV per atom.

=====

VASP calculation (PBE-GGA) on an optimized crystal structure of KAsCl5.

a b c (Å): 13.6713 6.9549 9.9552
angles (deg): 90.00 111.20 90.00
Space group C2/c (No. 15)
Inequivalent atoms, fractional coordinates:
K (0.0000, 0.0072, 0.2500)
As (0.0000, 0.5000, 0.0000)
Cl (0.0000, 0.4711, 0.7500)
Cl (0.1283, 0.2567, 0.5538)
Cl (0.1300, 0.2598, 0.0743)

Results
The raw formation energy is -0.8839 eV per atom.

=====

VASP calculation (PBE-GGA) on an optimized crystal structure of Mn2AgSe.

a b c (Å): 3.3993 3.3993 21.8700
angles (deg): 90.00 90.00 120.00
Space group R-3m (No. 166, hexagonal axes)
Inequivalent atoms, fractional coordinates:
Mn (0.0000, 0.0000, 0.2441)
Ag (0.0000, 0.0000, 0.0000)
Se (0.0000, 0.0000, 0.5000)

Results
The raw formation energy is 0.2028 eV per atom.

=====

VASP calculation (PBE-GGA) on an optimized crystal structure of CsBaBi4.

a b c (Å): 9.7378 9.7378 9.7378
angles (deg): 90.00 90.00 90.00
Space group F-43m (No. 216)
Inequivalent atoms, fractional coordinates:
Cs (0.0000, 0.0000, 0.0000)
Ba (0.2500, 0.2500, 0.7500)
Bi (0.1246, 0.1246, 0.3754)

Results
The offset from the most stable computed form comes out at 2.8 kJ/mol of atoms. The calculation puts the energy of formation at -0.41 eV per atom.

=====

VASP calculation (PBE-GGA) on an optimized crystal structure of La15TlIn4.

a b c (Å): 5.0618 5.0618 25.3314
angles (deg): 90.00 90.00 90.00
Space group P4/mmm (No. 123)
Inequivalent atoms, fractional coordinates:
La (0.0000, 0.0000, 0.0000)
La (0.0000, 0.0000, 0.2002)
La (0.0000, 0.0000, 0.4000)
La (0.0000, 0.5000, 0.1005)
La (0.0000, 0.5000, 0.3000)
La (0.0000, 0.5000, 0.5000)
Tl (0.5000, 0.5000, 0.0000)
In (0.5000, 0.5000, 0.2000)
In (0.5000, 0.5000, 0.4000)

Results
The calculation puts the energy of formation at -0.29 eV per atom.

=====

VASP calculation (PBE-GGA) on an optimized crystal structure of Tl3AgHg2F9.

a b c (Å): 6.4210 6.4210 7.9411
angles (deg): 90.00 90.00 120.00
Space group P-3m1 (No. 164)
Inequivalent atoms, fractional coordinates:
Tl (0.0000, 0.0000, 0.0000)
Tl (0.3333, 0.6667, 0.6434)
Ag (0.0000, 0.0000, 0.5000)
Hg (0.3333, 0.6667, 0.1692)
F (0.0000, 0.5000, 0.0000)
F (0.1678, 0.3356, 0.3420)

Results
The raw formation energy is -1.5098 eV per atom.

=====

VASP calculation (PBE-GGA) on an optimized crystal structure of NaHgPt3.

a b c (Å): 4.6567 4.6567 4.6567
angles (deg): 90.00 90.00 90.00
Space group Pm-3m (No. 221)
Inequivalent atoms, fractional coordinates:
Na (0.0000, 0.0000, 0.0000)
Hg (0.5000, 0.5000, 0.5000)
Pt (0.0000, 0.0000, 0.5000)

Results
The offset from the most stable computed form comes out at 26.6 kJ/mol of atoms. The calculation puts the energy of formation at 1.26 eV per atom.